No. 1
! YTlSn2 PBE optimized geometry; values from VASP
! - DFT formation energy (meV per atom) = -144
! - E_tot (eV/atom) = -4.3529
! - symmetry = Fm-3m (225)
&SYSTEM
  ibrav = 0, nat = 4, ntyp = 3
/
ATOMIC_SPECIES
Tl 204.38 Tl.upf
Sn 118.71 Sn.upf
Y 88.91 Y.upf
ATOMIC_POSITIONS crystal
Tl 0.500 0.500 0.500
Sn 0.250 0.250 0.250
Sn 0.750 0.750 0.750
Y 0.000 0.000 0.000
CELL_PARAMETERS angstrom
4.322 -3.278 0.486
-0.197 -4.287 3.353
-0.167 -5.047 -2.040

No. 2
! Sr2PrHg7 PBE optimized geometry; values from VASP
! - DFT formation energy (meV per atom) = -355
! - E_tot (eV/atom) = -1.3805
! - symmetry = P3m1 (156)
&SYSTEM
  ibrav = 0, nat = 10, ntyp = 3
/
ATOMIC_SPECIES
Sr 87.62 Sr.upf
Hg 200.59 Hg.upf
Pr 140.91 Pr.upf
ATOMIC_POSITIONS crystal
Sr 0.333 0.667 0.637
Sr 0.667 0.333 0.262
Hg 0.000 0.000 0.758
Hg 0.000 0.000 0.436
Hg 0.333 0.667 0.136
Hg 0.333 0.667 0.893
Hg 0.333 0.667 0.376
Hg 0.667 0.333 0.533
Hg 0.667 0.333 0.936
Pr 0.000 0.000 0.015
CELL_PARAMETERS angstrom
5.209 0.000 0.000
-2.604 4.511 0.000
0.000 0.000 12.709

No. 3
! YAlZn PBE optimized geometry; values from VASP
! - DFT formation energy (meV per atom) = -340
! - E_tot (eV/atom) = -4.1671
! - symmetry = F-43m (216)
&SYSTEM
  ibrav = 0, nat = 3, ntyp = 3
/
ATOMIC_SPECIES
Zn 65.41 Zn.upf
Y 88.91 Y.upf
Al 26.98 Al.upf
ATOMIC_POSITIONS crystal
Zn 0.750 0.750 0.750
Y 0.500 0.500 0.500
Al 0.000 0.000 0.000
CELL_PARAMETERS angstrom
4.561 0.000 0.000
2.280 3.950 0.000
2.280 1.317 3.724

No. 4
! KPuMgI6 PBE optimized geometry; values from VASP
! - raw formation energy (eV/atom) = -1.1354
! - E_tot (eV/atom) = -4.0604
! - symmetry = P-31c (163)
&SYSTEM
  ibrav = 0, nat = 18, ntyp = 4
/
ATOMIC_SPECIES
K 39.10 K.upf
I 126.90 I.upf
Mg 24.30 Mg.upf
Pu 244.00 Pu.upf
ATOMIC_POSITIONS crystal
K 0.000 0.000 0.000
K 0.000 0.000 0.500
I 0.015 0.374 0.639
I 0.641 0.015 0.361
I 0.641 0.626 0.139
I 0.985 0.626 0.361
I 0.015 0.641 0.861
I 0.359 0.985 0.639
I 0.985 0.359 0.139
I 0.359 0.374 0.861
I 0.626 0.641 0.639
I 0.374 0.015 0.139
I 0.626 0.985 0.861
I 0.374 0.359 0.361
Mg 0.333 0.667 0.750
Mg 0.667 0.333 0.250
Pu 0.667 0.333 0.750
Pu 0.333 0.667 0.250
CELL_PARAMETERS angstrom
-5.122 1.225 -5.830
3.068 -7.149 1.096
-11.732 -3.570 9.557

No. 5
! NbCd PBE optimized geometry; values from VASP
! - DFT formation energy (meV per atom) = 188
! - E_tot (eV/atom) = -5.3046
! - symmetry = I4/mmm (139)
&SYSTEM
  ibrav = 0, nat = 16, ntyp = 2
/
ATOMIC_SPECIES
Nb 92.91 Nb.upf
Cd 112.41 Cd.upf
ATOMIC_POSITIONS crystal
Nb 0.349 0.000 0.500
Nb 0.151 0.500 0.000
Nb 0.000 0.349 0.500
Nb 0.000 0.651 0.500
Nb 0.500 0.151 0.000
Nb 0.849 0.500 0.000
Nb 0.651 0.000 0.500
Nb 0.500 0.849 0.000
Cd 0.654 0.346 0.500
Cd 0.846 0.846 0.000
Cd 0.346 0.654 0.500
Cd 0.154 0.154 0.000
Cd 0.846 0.154 0.000
Cd 0.654 0.654 0.500
Cd 0.154 0.846 0.000
Cd 0.346 0.346 0.500
CELL_PARAMETERS angstrom
-5.269 7.608 4.423
-6.713 -0.141 -7.755
-1.830 -2.212 1.624

No. 6
! PmPr4Sm2Dy2 PBE optimized geometry; values from VASP
! - DFT formation energy (meV per atom) = 17
! - E_tot (eV/atom) = -4.7064
! - symmetry = C2/m (12)
&SYSTEM
  ibrav = 0, nat = 9, ntyp = 4
/
ATOMIC_SPECIES
Sm 150.36 Sm.upf
Pr 140.91 Pr.upf
Dy 162.50 Dy.upf
Pm 145.00 Pm.upf
ATOMIC_POSITIONS crystal
Sm 0.888 0.777 0.331
Sm 0.112 0.223 0.669
Pr 0.777 0.555 0.670
Pr 0.446 0.891 0.669
Pr 0.223 0.445 0.330
Pr 0.554 0.109 0.331
Dy 0.332 0.665 0.001
Dy 0.668 0.335 0.999
Pm 0.000 0.000 0.000
CELL_PARAMETERS angstrom
-0.207 -5.121 0.653
7.842 2.295 0.043
-2.910 1.078 7.532

No. 7
! BaLiRe2 PBE optimized geometry; values from VASP
! - DFT formation energy (meV per atom) = 1149
! - E_tot (eV/atom) = -6.0343
! - symmetry = F-43m (216)
&SYSTEM
  ibrav = 0, nat = 4, ntyp = 3
/
ATOMIC_SPECIES
Re 186.21 Re.upf
Li 6.94 Li.upf
Ba 137.33 Ba.upf
ATOMIC_POSITIONS crystal
Re 0.000 0.000 0.000
Re 0.250 0.250 0.250
Li 0.750 0.750 0.750
Ba 0.500 0.500 0.500
CELL_PARAMETERS angstrom
4.768 0.000 0.000
2.384 4.129 0.000
2.384 1.376 3.893

No. 8
! KLiCo2 PBE optimized geometry; values from VASP
! - DFT formation energy (meV per atom) = 539
! - E_tot (eV/atom) = -3.7667
! - symmetry = Cm (8)
&SYSTEM
  ibrav = 0, nat = 4, ntyp = 3
/
ATOMIC_SPECIES
Co 58.93 Co.upf
Li 6.94 Li.upf
K 39.10 K.upf
ATOMIC_POSITIONS crystal
Co 0.006 0.006 0.949
Co 0.732 0.732 0.865
Li 0.269 0.269 0.142
K 0.494 0.494 0.544
CELL_PARAMETERS angstrom
4.116 0.007 -0.017
3.148 2.652 -0.017
0.531 0.195 7.652

No. 9
! Sm12Tm6In PBE optimized geometry; values from VASP
! - DFT formation energy (meV per atom) = 91
! - E_tot (eV/atom) = -4.4453
! - symmetry = R-3 (148)
&SYSTEM
  ibrav = 0, nat = 19, ntyp = 3
/
ATOMIC_SPECIES
In 114.82 In.upf
Sm 150.36 Sm.upf
Tm 168.93 Tm.upf
ATOMIC_POSITIONS crystal
In 0.000 0.000 0.000
Sm 0.578 0.578 0.172
Sm 0.422 0.422 0.828
Sm 0.740 0.999 0.260
Sm 0.260 0.001 0.740
Sm 0.172 0.578 0.578
Sm 0.001 0.740 0.260
Sm 0.260 0.740 0.999
Sm 0.578 0.172 0.578
Sm 0.422 0.828 0.422
Sm 0.740 0.260 0.001
Sm 0.999 0.260 0.740
Sm 0.828 0.422 0.422
Tm 0.595 0.864 0.864
Tm 0.136 0.405 0.136
Tm 0.864 0.864 0.595
Tm 0.405 0.136 0.136
Tm 0.136 0.136 0.405
Tm 0.864 0.595 0.864
CELL_PARAMETERS angstrom
8.577 -0.342 -0.853
-0.908 8.536 -0.853
-0.320 -0.342 8.614

No. 10
! IrPtS2 PBE optimized geometry; values from VASP
! - raw formation energy (eV/atom) = 0.0493
! - E_tot (eV/atom) = -5.7399
! - symmetry = I-42d (122)
&SYSTEM
  ibrav = 0, nat = 8, ntyp = 3
/
ATOMIC_SPECIES
Pt 195.08 Pt.upf
S 32.06 S.upf
Ir 192.22 Ir.upf
ATOMIC_POSITIONS crystal
Pt 0.750 0.250 0.500
Pt 0.000 0.000 0.000
S 0.375 0.389 0.750
S 0.139 0.625 0.250
S 0.611 0.125 0.250
S 0.875 0.861 0.750
Ir 0.250 0.750 0.500
Ir 0.500 0.500 0.000
CELL_PARAMETERS angstrom
5.203 0.000 0.000
0.000 5.203 0.000
2.602 2.602 5.648

No. 11
! TbPuMg PBE optimized geometry; values from VASP
! - DFT formation energy (meV per atom) = 148
! - E_tot (eV/atom) = -6.7042
! - symmetry = P3m1 (156)
&SYSTEM
  ibrav = 0, nat = 3, ntyp = 3
/
ATOMIC_SPECIES
Pu 244.00 Pu.upf
Tb 158.93 Tb.upf
Mg 24.30 Mg.upf
ATOMIC_POSITIONS crystal
Pu 0.333 0.667 0.661
Tb 0.000 0.000 0.005
Mg 0.667 0.333 0.334
CELL_PARAMETERS angstrom
-1.883 -0.251 2.818
3.315 -0.742 0.100
1.737 8.013 1.874

No. 12
! Sr5Tl4Pb PBE optimized geometry; values from VASP
! - DFT formation energy (meV per atom) = -448
! - E_tot (eV/atom) = -2.6065
! - symmetry = P4/mmm (123)
&SYSTEM
  ibrav = 0, nat = 10, ntyp = 3
/
ATOMIC_SPECIES
Tl 204.38 Tl.upf
Pb 207.20 Pb.upf
Sr 87.62 Sr.upf
ATOMIC_POSITIONS crystal
Tl 0.000 0.000 0.794
Tl 0.000 0.000 0.206
Tl 0.000 0.000 0.601
Tl 0.000 0.000 0.399
Pb 0.000 0.000 0.000
Sr 0.500 0.500 0.897
Sr 0.500 0.500 0.302
Sr 0.500 0.500 0.500
Sr 0.500 0.500 0.103
Sr 0.500 0.500 0.698
CELL_PARAMETERS angstrom
-2.065 0.575 -3.482
3.425 -0.645 -2.138
-4.310 -20.258 -0.790

No. 13
! TbFe3B3 PBE optimized geometry; values from VASP
! - DFT formation energy (meV per atom) = -66
! - E_tot (eV/atom) = -7.2162
! - symmetry = Pm-3n (223)
&SYSTEM
  ibrav = 0, nat = 14, ntyp = 3
/
ATOMIC_SPECIES
Fe 55.84 Fe.upf
B 10.81 B.upf
Tb 158.93 Tb.upf
ATOMIC_POSITIONS crystal
Fe 0.000 0.250 0.500
Fe 0.500 0.000 0.750
Fe 0.250 0.500 0.000
Fe 0.750 0.500 0.000
Fe 0.500 0.000 0.250
Fe 0.000 0.750 0.500
B 0.250 0.000 0.500
B 0.000 0.500 0.250
B 0.500 0.750 0.000
B 0.500 0.250 0.000
B 0.000 0.500 0.750
B 0.750 0.000 0.500
Tb 0.500 0.500 0.500
Tb 0.000 0.000 0.000
CELL_PARAMETERS angstrom
-1.571 5.221 0.757
-5.065 -1.714 1.307
1.476 -0.323 5.293

No. 14
! Pa2Al4Zn3Au PBE optimized geometry; values from VASP
! - DFT formation energy (meV per atom) = -243
! - E_tot (eV/atom) = -4.3491
! - symmetry = P-4m2 (115)
&SYSTEM
  ibrav = 0, nat = 10, ntyp = 4
/
ATOMIC_SPECIES
Zn 65.41 Zn.upf
Al 26.98 Al.upf
Au 196.97 Au.upf
Pa 231.04 Pa.upf
ATOMIC_POSITIONS crystal
Zn 0.500 0.000 0.863
Zn 0.000 0.000 0.500
Zn 0.000 0.500 0.137
Al 0.500 0.000 0.637
Al 0.500 0.500 0.000
Al 0.000 0.500 0.363
Al 0.000 0.000 0.000
Au 0.500 0.500 0.500
Pa 0.000 0.500 0.750
Pa 0.500 0.000 0.250
CELL_PARAMETERS angstrom
-2.639 -2.356 2.272
3.269 -1.758 1.975
-0.396 7.575 7.396